1.
Here is a relaxed structure of Cr2AgSe from the Alexandria database. Energies are from GGA-PBE.

Computed properties:
As for the theoretical density: 6.76 g cm⁻³. Its space group is I-4m2. As for the total magnetic moment: 8.02 μB/f.u. The value obtained for the formation energy without anion corrections is 0.486 eV/atom. As for the crystal system: tetragonal.

Cell: 5.530 5.530 5.530 Å, 139.22 139.22 59.04°
Fractional coordinates of all 4 atoms:
Cr1 0.000 0.000 0.000
Cr2 0.750 0.250 0.500
Ag1 0.250 0.750 0.500
Se1 0.500 0.500 0.000

=====

2.
Here is a relaxed structure of Pu2AlSi2Rh5 from the Alexandria database. Energies are from GGA-PBE.

Computed properties:
As for the theoretical density: 11.14 g cm⁻³. Its space group is P4/mbm. As for the total magnetic moment: 10.53 μB/f.u. The value obtained for the formation energy without anion corrections is -0.738 eV/atom. As for the crystal system: tetragonal.

Cell: 10.438 10.438 2.970 Å, 90.00 90.00 90.00°
Fractional coordinates of all 20 atoms:
Pu1 0.178 0.322 0.000
Pu2 0.322 0.822 0.000
Pu3 0.678 0.178 0.000
Pu4 0.822 0.678 0.000
Al1 0.000 0.000 0.000
Al2 0.500 0.500 0.000
Si1 0.130 0.630 0.000
Si2 0.370 0.130 0.000
Si3 0.630 0.870 0.000
Si4 0.870 0.370 0.000
Rh1 0.000 0.500 0.500
Rh2 0.053 0.798 0.500
Rh3 0.202 0.053 0.500
Rh4 0.298 0.553 0.500
Rh5 0.447 0.298 0.500
Rh6 0.500 0.000 0.500
Rh7 0.553 0.702 0.500
Rh8 0.702 0.447 0.500
Rh9 0.798 0.947 0.500
Rh10 0.947 0.202 0.500

=====

3.
Here is a relaxed structure of FeRuW2S from the Alexandria database. Energies are from GGA-PBE.

Computed properties:
As for the theoretical density: 12.01 g cm⁻³. Its space group is P4/mmm. As for the total magnetic moment: 0.00 μB/f.u. The value obtained for the formation energy without anion corrections is 0.795 eV/atom. As for the crystal system: tetragonal.

Cell: 4.399 4.399 3.976 Å, 90.00 90.00 90.00°
Fractional coordinates of all 5 atoms:
Fe1 0.000 0.000 0.000
Ru1 0.500 0.500 0.000
W1 0.000 0.500 0.500
W2 0.500 0.000 0.500
S1 0.000 0.000 0.500

=====

4.
Here is a relaxed structure of CeY6Ho3 from the Alexandria database. Energies are from GGA-PBE.

Computed properties:
As for the theoretical density: 6.07 g cm⁻³. Its space group is Cmc2_1. As for the total magnetic moment: 0.71 μB/f.u. As for the crystal system: orthorhombic. Its formation energy is 0.158 eV/atom.

Cell: 10.964 10.964 6.292 Å, 90.00 90.00 122.24°
Fractional coordinates of all 20 atoms:
Ce1 0.214 0.786 0.500
Ce2 0.786 0.214 0.000
Y1 0.015 0.430 0.346
Y2 0.051 0.949 0.816
Y3 0.290 0.370 0.203
Y4 0.310 0.690 0.071
Y5 0.370 0.290 0.703
Y6 0.430 0.015 0.846
Y7 0.570 0.985 0.346
Y8 0.630 0.710 0.203
Y9 0.690 0.310 0.571
Y10 0.710 0.630 0.703
Y11 0.949 0.051 0.316
Y12 0.985 0.570 0.846
Ho1 0.069 0.296 0.783
Ho2 0.296 0.069 0.283
Ho3 0.384 0.616 0.606
Ho4 0.616 0.384 0.106
Ho5 0.704 0.931 0.783
Ho6 0.931 0.704 0.283

=====

5.
Here is a relaxed structure of V2Ir3 from the Alexandria database. Energies are from GGA-PBE.

Computed properties:
As for the theoretical density: 14.88 g cm⁻³. Its space group is Pnma. As for the total magnetic moment: 0.00 μB/f.u. As for the crystal system: orthorhombic. Its formation energy is -0.237 eV/atom.

Cell: 8.791 4.077 8.448 Å, 90.00 90.00 90.00°
Fractional coordinates of all 20 atoms:
V1 0.039 0.250 0.139
V2 0.194 0.250 0.457
V3 0.306 0.750 0.957
V4 0.461 0.750 0.639
V5 0.539 0.250 0.361
V6 0.694 0.250 0.043
V7 0.806 0.750 0.543
V8 0.961 0.750 0.861
Ir1 0.038 0.750 0.353
Ir2 0.155 0.250 0.871
Ir3 0.177 0.750 0.648
Ir4 0.323 0.250 0.148
Ir5 0.345 0.750 0.371
Ir6 0.462 0.250 0.853
Ir7 0.538 0.750 0.147
Ir8 0.655 0.250 0.629
Ir9 0.677 0.750 0.852
Ir10 0.823 0.250 0.352
Ir11 0.845 0.750 0.129
Ir12 0.962 0.250 0.647

=====

6.
Here is a relaxed structure of RbLi2Mg from the Alexandria database. Energies are from GGA-PBE.

Computed properties:
As for the theoretical density: 1.19 g cm⁻³. Its space group is I-42d. As for the total magnetic moment: 0.00 μB/f.u. As for the crystal system: tetragonal. Its formation energy is 0.291 eV/atom.

Cell: 11.220 11.220 11.220 Å, 150.34 150.34 42.44°
Fractional coordinates of all 8 atoms:
Rb1 0.000 0.000 0.000
Rb2 0.750 0.250 0.500
Li1 0.369 0.625 0.244
Li2 0.375 0.619 0.744
Li3 0.381 0.125 0.756
Li4 0.875 0.631 0.256
Mg1 0.250 0.750 0.500
Mg2 0.500 0.500 0.000

=====

7.
Here is a relaxed structure of ReAg3B from the Alexandria database. Energies are from GGA-PBE.

Computed properties:
As for the theoretical density: 11.01 g cm⁻³. Its space group is Pm-3m. As for the total magnetic moment: 0.00 μB/f.u. As for the crystal system: cubic. Its formation energy is 1.287 eV/atom.

Cell: 4.282 4.282 4.282 Å, 90.00 90.00 90.00°
Fractional coordinates of all 5 atoms:
Re1 0.000 0.000 0.000
Ag1 0.000 0.500 0.500
Ag2 0.500 0.000 0.500
Ag3 0.500 0.500 0.000
B1 0.500 0.500 0.500

=====

8.
Here is a relaxed structure of NpMnP3 from the Alexandria database. Energies are from GGA-PBE.

Computed properties:
As for the theoretical density: 8.24 g cm⁻³. Its space group is Pbcm. As for the total magnetic moment: 3.75 μB/f.u. As for the crystal system: orthorhombic. Its formation energy is -0.602 eV/atom.

Cell: 11.495 5.082 5.309 Å, 90.00 90.00 90.00°
Fractional coordinates of all 20 atoms:
Np1 0.192 0.002 0.250
Np2 0.192 0.498 0.750
Np3 0.808 0.502 0.250
Np4 0.808 0.998 0.750
Mn1 0.422 0.750 0.000
Mn2 0.422 0.750 0.500
Mn3 0.578 0.250 0.000
Mn4 0.578 0.250 0.500
P1 0.001 0.750 0.000
P2 0.001 0.750 0.500
P3 0.296 0.004 0.750
P4 0.296 0.496 0.250
P5 0.430 0.117 0.250
P6 0.430 0.383 0.750
P7 0.570 0.617 0.250
P8 0.570 0.883 0.750
P9 0.704 0.504 0.750
P10 0.704 0.996 0.250
P11 0.999 0.250 0.000
P12 0.999 0.250 0.500